Record 1
An optimized crystal structure of ScHRh3, computed with PBE.

Calculated values
- Excess energy over the best structure of this formula in the dataset: 0.389 eV per atom
- SG: I-4m2

Lattice parameters (Å, degrees): 5.183 5.183 6.347 65.90 65.90 90.00
Fractional coordinates of all 10 atoms:
Sc: 0.581 0.081 0.838
Sc: 0.919 0.419 0.162
H: 0.000 0.000 0.000
H: 0.250 0.750 0.500
Rh: 0.110 0.864 0.272
Rh: 0.136 0.890 0.728
Rh: 0.136 0.382 0.728
Rh: 0.618 0.864 0.272
Rh: 0.372 0.372 0.256
Rh: 0.628 0.628 0.744

Record 2
An optimized crystal structure of Pr2Dy12Tm5, computed with PBE.

Calculated values
- Formation enthalpy at 0 K: 107 meV per atom
- Excess energy over the best structure of this formula in the dataset: 0.000 eV per atom
- SG: P-1

Lattice parameters (Å, degrees): 6.592 14.769 11.608 143.35 67.24 115.53
Fractional coordinates of all 19 atoms:
Pr: 0.663 0.826 0.820
Pr: 0.337 0.174 0.180
Dy: 0.907 0.876 0.097
Dy: 0.813 0.554 0.008
Dy: 0.593 0.515 0.742
Dy: 0.242 0.820 0.691
Dy: 0.890 0.746 0.447
Dy: 0.674 0.190 0.892
Dy: 0.326 0.810 0.108
Dy: 0.758 0.180 0.309
Dy: 0.110 0.254 0.553
Dy: 0.187 0.446 0.992
Dy: 0.407 0.485 0.258
Dy: 0.093 0.124 0.903
Tm: 0.158 0.539 0.638
Tm: 0.472 0.817 0.367
Tm: 0.000 0.000 0.500
Tm: 0.528 0.183 0.633
Tm: 0.842 0.461 0.362

Record 3
An optimized crystal structure of CaMn4Au, computed with PBE.

Calculated values
- Formation enthalpy at 0 K: 351 meV per atom
- SG: F-43m

Lattice parameters (Å, degrees): 5.086 5.086 5.086 60.00 60.00 60.00
Site moments in Bohr magnetons follow the coordinates.
Fractional coordinates of all 6 atoms:
Ca: 0.000 0.000 0.000  0.01
Mn: 0.875 0.375 0.375  2.35
Mn: 0.375 0.375 0.875  2.35
Mn: 0.375 0.875 0.375  2.35
Mn: 0.375 0.375 0.375  2.35
Au: 0.750 0.750 0.750  0.10

Record 4
An optimized crystal structure of HoErSiNi, computed with PBE.

Calculated values
- Excess energy over the best structure of this formula in the dataset: 0.000 eV per atom
- Formation energy from raw total energies: -654 meV per atom
- SG: Amm2

Lattice parameters (Å, degrees): 3.941 4.030 5.602 90.00 110.60 90.00
Fractional coordinates of all 4 atoms:
Ho: 0.859 0.500 0.717
Er: 0.140 0.000 0.280
Si: 0.569 0.500 0.137
Ni: 0.433 0.000 0.865

Record 5
An optimized crystal structure of Sr2ScCd2, computed with PBE.

Calculated values
- Formation enthalpy at 0 K: -104 meV per atom
- SG: P4/mbm

Lattice parameters (Å, degrees): 7.894 7.894 5.326 90.00 90.00 90.00
Fractional coordinates of all 10 atoms:
Sc: 0.000 0.000 0.000
Sc: 0.500 0.500 0.000
Sr: 0.176 0.676 0.500
Sr: 0.676 0.824 0.500
Sr: 0.824 0.324 0.500
Sr: 0.324 0.176 0.500
Cd: 0.368 0.868 0.000
Cd: 0.868 0.632 0.000
Cd: 0.632 0.132 0.000
Cd: 0.132 0.368 0.000

Record 6
An optimized crystal structure of CaMn3Ge3, computed with PBE.

Calculated values
- Formation enthalpy at 0 K: 226 meV per atom
- SG: Pm-3n

Lattice parameters (Å, degrees): 6.815 6.815 6.815 90.00 90.00 90.00
Site moments in Bohr magnetons follow the coordinates.
Fractional coordinates of all 14 atoms:
Ge: 0.000 0.250 0.500  -0.17
Ge: 0.000 0.750 0.500  -0.17
Ge: 0.500 0.000 0.750  -0.17
Ge: 0.750 0.500 0.000  -0.17
Ge: 0.500 0.000 0.250  -0.17
Ge: 0.250 0.500 0.000  -0.17
Mn: 0.250 0.000 0.500  3.31
Mn: 0.000 0.500 0.250  3.31
Mn: 0.500 0.750 0.000  3.31
Mn: 0.750 0.000 0.500  3.31
Mn: 0.000 0.500 0.750  3.31
Mn: 0.500 0.250 0.000  3.31
Ca: 0.500 0.500 0.500  0.03
Ca: 0.000 0.000 0.000  0.03

Record 7
An optimized crystal structure of La2Ho4Tm, computed with PBE.

Calculated values
- Formation enthalpy at 0 K: 316 meV per atom
- Excess energy over the best structure of this formula in the dataset: 0.000 eV per atom
- SG: Cmmm

Lattice parameters (Å, degrees): 5.536 3.444 13.432 97.37 90.00 90.00
Fractional coordinates of all 7 atoms:
Tm: 0.000 0.500 0.000
Ho: 0.500 0.572 0.144
Ho: 0.000 0.888 0.775
Ho: 0.500 0.428 0.856
Ho: 0.000 0.112 0.225
La: 0.500 0.194 0.387
La: 0.500 0.806 0.613

Record 8
An optimized crystal structure of Sc2GePd5, computed with PBE.

Calculated values
- Formation enthalpy at 0 K: -807 meV per atom
- SG: Pbam

Lattice parameters (Å, degrees): 4.103 5.639 11.244 90.00 90.00 90.00
Fractional coordinates of all 16 atoms:
Sc: 0.500 0.313 0.360
Sc: 0.500 0.687 0.640
Sc: 0.500 0.187 0.860
Sc: 0.500 0.813 0.140
Ge: 0.000 0.000 0.500
Ge: 0.000 0.500 0.000
Pd: 0.500 0.312 0.108
Pd: 0.500 0.688 0.892
Pd: 0.500 0.812 0.392
Pd: 0.500 0.188 0.608
Pd: 0.000 0.932 0.748
Pd: 0.000 0.068 0.252
Pd: 0.000 0.432 0.752
Pd: 0.000 0.568 0.248
Pd: 0.000 0.500 0.500
Pd: 0.000 0.000 0.000

| no. | E (eV/atom) |
| --- | --- |
| 1 | -6.526 |
| 2 | -4.479 |
| 3 | -6.642 |
| 4 | -5.740 |
| 5 | -2.409 |
| 6 | -5.969 |
| 7 | -4.346 |
| 8 | -6.213 |